w:
# LiMnF3 GGA+U relaxed
data_LiMnF3
_chemical_formula_sum 'Li6 Mn6 F18'
_cell_length_a 5.3875
_cell_length_b 5.3875
_cell_length_c 14.7618
_cell_angle_alpha 90.00
_cell_angle_beta 90.00
_cell_angle_gamma 120.00
_symmetry_space_group_name_H-M 'R -3 c'
_symmetry_Int_Tables_number 167
_symmetry_space_group_name_Hall '-R 3 2"c'
loop_
_atom_site_label
_atom_site_fract_x
_atom_site_fract_y
_atom_site_fract_z
Li1 0.0000 0.0000 0.2500
Mn1 0.0000 0.0000 0.0000
F1 0.0000 0.3459 0.2500
# - calculated volume (Å³ per atom) = 12.4

---

x:
# LiMnF3 GGA+U relaxed
data_LiMnF3
_chemical_formula_sum 'Li2 Mn2 F6'
_cell_length_a 5.8881
_cell_length_b 5.8881
_cell_length_c 5.9007
_cell_angle_alpha 90.00
_cell_angle_beta 90.00
_cell_angle_gamma 120.00
_symmetry_space_group_name_H-M 'P 63/m m c'
_symmetry_Int_Tables_number 194
_symmetry_space_group_name_Hall '-P 6c 2c'
loop_
_atom_site_label
_atom_site_fract_x
_atom_site_fract_y
_atom_site_fract_z
Li1 0.3333 0.6667 0.2500
Mn1 0.0000 0.0000 0.0000
F1 0.1544 0.3087 0.2500
# - calculated volume (Å³ per atom) = 17.7

---

Which of them is the least stable? Correct choice: x.